Computed, not measured: a relaxed structure of Sb2PPt at the PBE level of DFT.

Cell: 3.8756 4.8018 4.9322 Å, 69.72 90.00 90.00°
Last column: nearest neighbours and their distance in Å.
Element x y z (fractional)
Pt1 0.5000 0.2726 0.2675  2 P 2.49, 2 Sb 2.70
P1 0.0000 0.4835 0.4498  2 Pt 2.49, 1 Sb 2.61
Sb1 0.5000 0.7299 0.7272  2 Pt 2.80, 2 P 2.85, 2 Sb 3.13
Sb2 0.0000 0.0141 0.0556  1 P 2.61, 2 Pt 2.70

Calculated values
- Fermi-level density of states: 2.0 states/eV/cell
- Raw total energy: -20.3 eV per cell
- M_tot: 0.000 μB per formula unit

Computed, not measured: a relaxed structure of SbPPt at the PBE level of DFT.

Cell: 4.1217 4.1217 4.0454 Å, 90.00 90.00 120.00°
Last column: nearest neighbours and their distance in Å.
Element x y z (fractional)
Sb1 0.0000 0.0000 0.0000  6 Pt 3.12, 6 P 3.12
Pt1 0.6667 0.3333 0.5000  3 P 2.38
P1 0.3333 0.6667 0.5000  3 Pt 2.38

Calculated values
- E above lowest polymorph: 0.4281 eV/atom
- Fermi-level density of states: 0.6 states/eV/cell
- Raw total energy: -15.8 eV per cell
- M_tot: 0.000 μB per formula unit

Number 1: formation energy (no corrections) -0.15 eV/atom. Number 2: formation energy (no corrections) -0.09 eV/atom.